No. 1
Li4ZnIn: relaxed, PBE.

Structure (POSCAR):
```
Li4ZnIn
1.0
-4.1750 1.4800 2.8190
-1.0541 5.1024 0.6497
-4.1532 2.1476 -2.3889
Li Zn In
4 1 1
direct
0.8755 0.3748 0.3748
0.3748 0.3748 0.8755
0.3748 0.8755 0.3748
0.3748 0.3748 0.3748
0.7500 0.7500 0.7500
0.0000 0.0000 0.0000
```

Values from the calculation:
Its offset from the most stable computed form is 153.7 meV/atom. Its total DFT energy (no corrections) is -2.00 eV per atom. As for the density of states at the Fermi level: 0.442 states/eV/atom. The total moment is 0.0 μB per formula unit.

***

No. 2
USi2RuRh: relaxed, PBE.

Structure (POSCAR):
```
USi2RuRh
1.0
5.7037 0.0002 0.0000
2.7721 4.9848 0.0000
-4.2379 -2.4925 2.8914
U Si Ru Rh
1 2 1 1
direct
0.0000 0.0000 0.0000
0.6216 0.6216 0.0000
0.3784 0.3784 0.0000
0.7500 0.2500 0.5000
0.2500 0.7500 0.5000
```

Values from the calculation:
Its total DFT energy (no corrections) is -8.50 eV per atom. As for the density of states at the Fermi level: 1.144 states/eV/atom. The value obtained for the energy relative to the elements, uncorrected is -71.8 kJ per mole of atoms. The total moment is 2.0 μB per formula unit.

***

No. 3
Pm3Er3Cd: relaxed, PBE.

Structure (POSCAR):
```
Pm3Er3Cd
1.0
-0.3007 0.8630 -5.4724
-8.1231 -4.8619 -0.3203
-0.1359 9.3590 1.4833
Pm Er Cd
6 6 2
direct
0.2500 0.5258 0.6320
0.2500 0.1062 0.4740
0.2500 0.3678 0.8934
0.7500 0.4742 0.3680
0.7500 0.8938 0.5260
0.7500 0.6322 0.1066
0.7500 0.7637 0.8217
0.7500 0.0577 0.2360
0.7500 0.1784 0.9423
0.2500 0.2363 0.1783
0.2500 0.9423 0.7640
0.2500 0.8216 0.0577
0.7500 0.3331 0.6665
0.2500 0.6669 0.3335
```

Values from the calculation:
Its total DFT energy (no corrections) is -4.16 eV per atom. As for the density of states at the Fermi level: 1.498 states/eV/atom. The total moment is 0.0 μB per formula unit.

***

No. 4
Ta2CrAg: relaxed, PBE.

Structure (POSCAR):
```
Ta2CrAg
1.0
5.2075 0.0424 -0.0320
-2.1481 4.7440 -0.0320
0.3889 0.6084 2.6520
Ag Cr Ta
1 1 2
direct
0.5000 0.0000 0.5000
0.0000 0.5000 0.5000
0.0000 0.0000 0.0000
0.5000 0.5000 0.0000
```

Values from the calculation:
Its offset from the most stable computed form is 202.5 meV/atom. Its total DFT energy (no corrections) is -8.63 eV per atom. As for the density of states at the Fermi level: 1.040 states/eV/atom. The total moment is 0.0 μB per formula unit.

***

What is the total moment in the second record?
2.0 μB per formula unit